TcAuC2Br | Alexandria via LeMat-Bulk | PBE-GGA | optimized geometry; VASP energy = -4.275 eV per atom; ΔE_f (raw) = 2477 meV/atom
1.0
3.953 0.000 0.000
0.000 3.953 0.000
0.000 0.000 7.173
Tc Au C Br
1 1 2 1
Cartesian
0.000 0.000 0.000 Tc
1.977 1.977 3.586 Au
0.000 1.977 3.586 C
1.977 0.000 3.586 C
1.977 1.977 0.000 Br